(1)
Material: La2AlSn2
Method: DFT, PBE-GGA
State: relaxed

Unit cell a=4.6910 b=7.3738 c=9.1791 alpha=90.00 beta=104.80 gamma=90.00
Fractional positions:
La  0.2074  0.9210  0.4149
La  0.7926  0.4210  0.5851
La  0.0202  0.2293  0.0405
La  0.9798  0.7293  0.9595
Sn  0.5779  0.9437  0.1557
Sn  0.1695  0.4749  0.3390
Sn  0.4221  0.4437  0.8443
Sn  0.8305  0.9749  0.6610
Al  0.4056  0.0653  0.8111
Al  0.5944  0.5653  0.1889

**ΔE to the lowest computed polymorph**: 84.0 meV/atom
**Symmetry**: Cmc2_1
**VASP energy**: -24.5 eV/f.u.
**E_form**: -0.579 eV/atom


(2)
Material: LaAlSn
Method: DFT, PBE-GGA
State: relaxed

Unit cell a=7.1749 b=7.1749 c=7.1749 alpha=90.00 beta=90.00 gamma=90.00
Fractional positions:
Al  0.5051  0.5051  0.5051
Al  0.4949  0.0051  0.9949
Al  0.9949  0.4949  0.0051
Al  0.0051  0.9949  0.4949
Sn  0.2858  0.2858  0.2858
Sn  0.7142  0.7858  0.2142
Sn  0.2142  0.7142  0.7858
Sn  0.7858  0.2142  0.7142
La  0.5332  0.4668  0.9668
La  0.4668  0.9668  0.5332
La  0.0332  0.0332  0.0332
La  0.9668  0.5332  0.4668

**Symmetry**: P2_13
**VASP energy**: -13.3 eV/f.u.
**E_form**: -0.203 eV/atom


(3)
Material: LaAl3Sn
Method: DFT, PBE-GGA
State: relaxed

Unit cell a=5.2308 b=5.2308 c=5.2308 alpha=90.00 beta=90.00 gamma=90.00
Fractional positions:
Sn  0.0000  0.0000  0.0000
La  0.5000  0.5000  0.5000
Al  0.5000  0.0000  0.0000
Al  0.0000  0.0000  0.5000
Al  0.0000  0.5000  0.0000

**ΔE to the lowest computed polymorph**: 0.0 meV/atom
**Symmetry**: Pm-3m
**VASP energy**: -18.0 eV/f.u.
**E_form**: 0.430 eV/atom


(4)
Material: La2AlSn
Method: DFT, PBE-GGA
State: relaxed

Unit cell a=8.7336 b=8.7336 c=6.9509 alpha=51.08 beta=51.08 gamma=90.00
Last column: magnetic moment on the atom in μB.
Fractional positions:
La  0.6198  0.1250  0.2500  0.12
La  0.1302  0.6250  0.2500  0.12
La  0.8750  0.8698  0.7500  0.12
La  0.3750  0.3802  0.7500  0.12
Al  0.5000  0.5000  0.0000  0.00
Al  0.2500  0.7500  0.5000  0.00
Sn  0.7500  0.2500  0.5000  0.00
Sn  0.0000  0.0000  0.0000  0.00

**Symmetry**: I-42d
**VASP energy**: -18.5 eV/f.u.
**E_form**: -0.219 eV/atom


(5)
Material: LaAl3Sn
Method: DFT, PBE-GGA
State: relaxed

Unit cell a=5.6240 b=5.6240 c=5.6240 alpha=90.00 beta=90.00 gamma=90.00
Fractional positions:
Al  0.0000  0.5000  0.0000
Al  0.0000  0.0000  0.5000
Al  0.5000  0.0000  0.0000
La  0.0000  0.0000  0.0000
Sn  0.5000  0.5000  0.5000

**ΔE to the lowest computed polymorph**: 670.3 meV/atom
**Symmetry**: Pm-3m
**VASP energy**: -14.7 eV/f.u.
**E_form**: 1.101 eV/atom


(6)
Material: La3Al2Sn2
Method: DFT, PBE-GGA
State: relaxed

Unit cell a=4.4256 b=4.6295 c=10.4613 alpha=102.78 beta=102.21 gamma=90.00
Last column: magnetic moment on the atom in μB.
Fractional positions:
La  0.0000  0.0000  0.0000  0.01
La  0.6848  0.1848  0.3697  0.14
La  0.3152  0.8152  0.6303  0.14
Sn  0.1432  0.6432  0.2864  -0.01
Sn  0.8568  0.3568  0.7136  -0.01
Al  0.4367  0.4367  0.8734  0.00
Al  0.5633  0.5633  0.1266  0.00

**Symmetry**: Immm
**VASP energy**: -34.9 eV/f.u.
**E_form**: -0.662 eV/atom


(7)
Material: La6Al2Sn
Method: DFT, PBE-GGA
State: relaxed

Unit cell a=9.1303 b=9.1303 c=9.1303 alpha=103.52 beta=113.21 gamma=111.85
Fractional positions:
Al  0.6374  0.0000  0.6374
Al  0.5000  0.6184  0.1184
Al  0.3626  0.0000  0.3626
Al  0.5000  0.3816  0.8816
La  0.2868  0.6091  0.3223
La  0.9110  0.7195  0.1915
La  0.0890  0.2805  0.8085
La  0.8013  0.2429  0.0442
La  0.7132  0.0355  0.3223
La  0.7132  0.3909  0.6777
La  0.5280  0.7195  0.8085
La  0.4720  0.2805  0.1915
La  0.1987  0.2429  0.4416
La  0.1987  0.7571  0.9558
La  0.2868  0.9645  0.6777
La  0.8013  0.7571  0.5584
Sn  0.0000  0.5000  0.5000
Sn  0.0000  0.0000  0.0000

**Symmetry**: Immm
**VASP energy**: -44.1 eV/f.u.
**E_form**: -0.342 eV/atom


(8)
Material: LaAl2Sn2
Method: DFT, PBE-GGA
State: relaxed

Unit cell a=8.2794 b=8.2794 c=3.6580 alpha=90.00 beta=90.00 gamma=90.00
Fractional positions:
Sn  0.6349  0.1349  0.0000
Sn  0.1349  0.3651  0.0000
Sn  0.8651  0.6349  0.0000
Sn  0.3651  0.8651  0.0000
La  0.5000  0.5000  0.0000
La  0.0000  0.0000  0.0000
Al  0.3446  0.1554  0.5000
Al  0.1554  0.6554  0.5000
Al  0.8446  0.3446  0.5000
Al  0.6554  0.8446  0.5000

**Symmetry**: P4/mbm
**VASP energy**: -21.2 eV/f.u.
**E_form**: -0.153 eV/atom


Question: Number 4 is which compound?
Answer: La2AlSn


Question: Among the records above, which one has the highest VASP energy?
Answer: LaAlSn


Question: Look up the E_form of the eighth one.
Answer: -0.153 eV/atom